1.
A relaxed Tb2Pd8Pt crystal. Source: Alexandria via LeMat-Bulk, functional PBE-GGA.

Values from the calculation:
Total DFT energy (no corrections): -5.64 eV/atom
Relative energy among the computed polymorphs: 0.0354 eV/atom
DFT formation energy: -5.20 eV per formula unit
Total magnetic moment: 0.0 μB per cell
Density: 11.43 g/cm³
D(E_F): 0.61 states/eV/atom

Geometry as CIF:
```
data_Tb2Pd8Pt
_symmetry_space_group_name_H-M 'C 1 2/m 1'
_symmetry_Int_Tables_number 12
_cell_length_a 10.295
_cell_length_b 5.434
_cell_length_c 7.133
_cell_angle_alpha 90.00
_cell_angle_beta 96.49
_cell_angle_gamma 90.00
loop_
_symmetry_equiv_pos_as_xyz
'x,y,z'
'-x,-y,-z'
'-x,y,-z'
'x,-y,z'
'x+1/2,y+1/2,z'
'-x+1/2,-y+1/2,-z'
'-x+1/2,y+1/2,-z'
'x+1/2,-y+1/2,z'
loop_
_atom_site_label
_atom_site_fract_x
_atom_site_fract_y
_atom_site_fract_z
Tb1 0.188 0.000 0.235
Pd1 0.058 0.254 0.825
Pd2 0.122 0.500 0.465
Pd3 0.201 0.500 0.119
Pt1 0.000 0.000 0.500
```



2.
A relaxed TbPd5Pt2 crystal. Source: Alexandria via LeMat-Bulk, functional PBE-GGA.

Values from the calculation:
Total DFT energy (no corrections): -5.78 eV/atom
Relative energy among the computed polymorphs: 0.0000 eV/atom
DFT formation energy: -3.56 eV per formula unit
Total magnetic moment: 0.0 μB per cell
Density: 13.55 g/cm³
D(E_F): 1.49 states/eV/atom

Geometry as CIF:
```
data_TbPd5Pt2
_symmetry_space_group_name_H-M 'P b a m'
_symmetry_Int_Tables_number 55
_cell_length_a 5.700
_cell_length_b 11.422
_cell_length_c 4.070
_cell_angle_alpha 90.00
_cell_angle_beta 90.00
_cell_angle_gamma 90.00
loop_
_symmetry_equiv_pos_as_xyz
'x,y,z'
'-x,-y,-z'
'-x,-y,z'
'x,y,-z'
'x+1/2,-y+1/2,-z'
'-x+1/2,y+1/2,z'
'-x+1/2,y+1/2,-z'
'x+1/2,-y+1/2,z'
loop_
_atom_site_label
_atom_site_fract_x
_atom_site_fract_y
_atom_site_fract_z
Tb1 0.000 0.000 0.000
Pd1 0.000 0.500 0.000
Pd2 0.014 0.251 0.000
Pd3 0.248 0.873 0.500
Pt1 0.236 0.629 0.500
```